Record 1
{"formula": "La4SmTl3", "functional": "PBE", "state": "optimized geometry", "lattice_angstrom": [[5.407, 0.000, 1.596], [2.468, 4.811, 1.596], [-0.027, -0.017, 10.048]], "species": ["Tl", "Tl", "Tl", "Sm", "La", "La", "La", "La"], "frac_coords": [[0.264, 0.264, 0.208], [0.736, 0.736, 0.792], [0.500, 0.500, 0.500], [0.000, 0.000, 0.000], [0.866, 0.866, 0.402], [0.386, 0.386, 0.842], [0.134, 0.134, 0.598], [0.614, 0.614, 0.158]], "formation_enthalpy_0k_kj_per_mol_fu": -209, "spacegroup": "R-3m (166)", "dos_at_fermi_per_ev_cell": 12.44}

Record 2
{"formula": "La8Sm2Tl", "functional": "PBE", "state": "optimized geometry", "lattice_angstrom": [[6.150, 0.940, 0.656], [2.454, 9.779, 2.657], [2.454, 5.860, 8.267]], "species": ["La", "La", "La", "La", "La", "La", "La", "La", "Sm", "Sm", "Tl"], "frac_coords": [[0.317, 0.106, 0.579], [0.317, 0.579, 0.106], [0.683, 0.894, 0.421], [0.216, 0.531, 0.531], [0.683, 0.421, 0.894], [0.327, 0.100, 0.100], [0.673, 0.900, 0.900], [0.784, 0.469, 0.469], [0.896, 0.283, 0.283], [0.104, 0.717, 0.717], [0.000, 0.000, 0.000]], "formation_enthalpy_0k_kj_per_mol_fu": 17, "spacegroup": "C2/m (12)", "dos_at_fermi_per_ev_cell": 15.96}

Record 3
{"formula": "LaSm2Tl2", "functional": "PBE", "state": "optimized geometry", "lattice_angstrom": [[6.799, 2.075, -0.002], [5.288, 7.022, -0.003], [3.393, 1.038, 8.699]], "species": ["La", "La", "Sm", "Sm", "Sm", "Sm", "Tl", "Tl", "Tl", "Tl"], "frac_coords": [[0.836, 0.750, 0.328], [0.164, 0.250, 0.672], [0.481, 0.750, 0.038], [0.702, 0.250, 0.595], [0.519, 0.250, 0.962], [0.298, 0.750, 0.405], [0.655, 0.250, 0.248], [0.904, 0.750, 0.752], [0.096, 0.250, 0.248], [0.345, 0.750, 0.752]], "formation_enthalpy_0k_kj_per_mol_fu": -101, "spacegroup": "P2_1/m (11)", "e_above_lowest_polymorph_ev_per_atom": 0.0000, "dos_at_fermi_per_ev_cell": 10.19}

Record 4
{"formula": "LaSm6Tl2", "functional": "PBE", "state": "optimized geometry", "lattice_angstrom": [[-4.395, -2.465, -3.500], [-3.367, -6.380, 6.777], [-7.625, 4.367, 4.557]], "species": ["La", "La", "Sm", "Sm", "Sm", "Sm", "Sm", "Sm", "Sm", "Sm", "Sm", "Sm", "Sm", "Sm", "Tl", "Tl", "Tl", "Tl"], "frac_coords": [[0.250, 0.114, 0.886], [0.750, 0.886, 0.114], [0.482, 0.672, 0.445], [0.018, 0.555, 0.328], [0.518, 0.328, 0.555], [0.982, 0.445, 0.672], [0.669, 0.107, 0.358], [0.831, 0.642, 0.893], [0.331, 0.893, 0.642], [0.169, 0.358, 0.107], [0.304, 0.737, 0.021], [0.196, 0.979, 0.263], [0.696, 0.263, 0.979], [0.804, 0.021, 0.737], [0.402, 0.529, 0.789], [0.098, 0.211, 0.471], [0.598, 0.471, 0.211], [0.902, 0.789, 0.529]], "formation_enthalpy_0k_kj_per_mol_fu": -104, "spacegroup": "C2/c (15)", "e_above_lowest_polymorph_ev_per_atom": 0.0284, "dos_at_fermi_per_ev_cell": 24.48}

Record 5
{"formula": "La5SmTl6", "functional": "PBE", "state": "optimized geometry", "lattice_angstrom": [[5.326, 1.762, 0.000], [2.826, 9.291, 0.000], [1.413, 4.646, 8.407]], "species": ["La", "La", "La", "La", "La", "Sm", "Tl", "Tl", "Tl", "Tl", "Tl", "Tl"], "frac_coords": [[0.500, 0.173, 0.654], [0.000, 0.337, 0.327], [0.500, 0.500, 0.000], [0.000, 0.663, 0.673], [0.500, 0.827, 0.346], [0.000, 0.000, 0.000], [0.757, 0.080, 0.327], [0.243, 0.594, 0.327], [0.265, 0.236, 0.000], [0.735, 0.764, 0.000], [0.757, 0.406, 0.673], [0.243, 0.920, 0.673]], "formation_enthalpy_0k_kj_per_mol_fu": -480, "spacegroup": "C2/m (12)", "dos_at_fermi_per_ev_cell": 13.68}

Record 6
{"formula": "La2SmTl2", "functional": "PBE", "state": "optimized geometry", "lattice_angstrom": [[-2.939, 0.571, 2.485], [3.058, -2.176, 4.115], [6.728, 13.058, 1.907]], "species": ["La", "La", "La", "La", "Sm", "Sm", "Tl", "Tl", "Tl", "Tl"], "frac_coords": [[0.048, 0.750, 0.095], [0.952, 0.250, 0.905], [0.238, 0.750, 0.474], [0.762, 0.250, 0.526], [0.853, 0.750, 0.705], [0.147, 0.250, 0.295], [0.644, 0.750, 0.288], [0.356, 0.250, 0.712], [0.447, 0.750, 0.895], [0.553, 0.250, 0.105]], "formation_enthalpy_0k_kj_per_mol_fu": -151, "spacegroup": "P2_1/m (11)", "e_above_lowest_polymorph_ev_per_atom": 0.0058, "dos_at_fermi_per_ev_cell": 9.02}

Record 7
{"formula": "La6SmTl", "functional": "PBE", "state": "optimized geometry", "lattice_angstrom": [[-1.726, -0.570, -7.142], [6.793, -1.598, 2.368], [-4.309, -4.641, 3.358]], "species": ["La", "La", "La", "La", "La", "La", "Sm", "Tl"], "frac_coords": [[0.253, 0.253, 0.761], [0.448, 0.994, 0.240], [0.747, 0.747, 0.239], [0.006, 0.552, 0.760], [0.552, 0.006, 0.760], [0.994, 0.448, 0.240], [0.500, 0.500, 0.500], [0.000, 0.000, 0.000]], "formation_enthalpy_0k_kj_per_mol_fu": 108, "spacegroup": "C2/m (12)", "e_above_lowest_polymorph_ev_per_atom": 0.1741, "dos_at_fermi_per_ev_cell": 13.70}

Record 8
{"formula": "La5Sm3Tl3", "functional": "PBE", "state": "optimized geometry", "lattice_angstrom": [[-2.852, 1.867, 0.834], [-1.466, -6.298, 9.080], [6.213, 9.238, 0.567]], "species": ["La", "La", "La", "La", "La", "Sm", "Sm", "Sm", "Tl", "Tl", "Tl"], "frac_coords": [[0.500, 0.667, 0.333], [0.500, 0.333, 0.667], [0.500, 0.342, 0.000], [0.500, 0.658, 0.658], [0.500, 0.000, 0.342], [0.500, 0.831, 0.000], [0.500, 0.169, 0.169], [0.500, 0.000, 0.831], [0.000, 0.590, 0.000], [0.000, 0.000, 0.590], [0.000, 0.410, 0.410]], "formation_enthalpy_0k_kj_per_mol_fu": 105, "spacegroup": "P-62m (189)", "dos_at_fermi_per_ev_cell": 16.41}

Record 9
{"formula": "La8Sm6Tl", "functional": "PBE", "state": "optimized geometry", "lattice_angstrom": [[-3.739, -5.351, 1.785], [-0.769, -2.497, -9.097], [7.184, -3.280, 5.217]], "species": ["La", "La", "La", "La", "La", "La", "La", "La", "Sm", "Sm", "Sm", "Sm", "Sm", "Sm", "Tl"], "frac_coords": [[0.826, 0.047, 0.276], [0.826, 0.724, 0.771], [0.826, 0.229, 0.953], [0.174, 0.953, 0.724], [0.174, 0.276, 0.229], [0.174, 0.771, 0.047], [0.873, 0.333, 0.667], [0.127, 0.667, 0.333], [0.658, 0.653, 0.097], [0.658, 0.903, 0.556], [0.658, 0.444, 0.347], [0.342, 0.347, 0.903], [0.342, 0.097, 0.444], [0.342, 0.556, 0.653], [0.500, 0.000, 0.000]], "formation_enthalpy_0k_kj_per_mol_fu": 91, "spacegroup": "P-3 (147)", "dos_at_fermi_per_ev_cell": 22.05}

Record 10
{"formula": "LaSm5Tl6", "functional": "PBE", "state": "optimized geometry", "lattice_angstrom": [[-1.262, -4.722, -2.511], [4.774, -8.170, 0.904], [-2.419, -6.188, 6.824]], "species": ["La", "Sm", "Sm", "Sm", "Sm", "Sm", "Tl", "Tl", "Tl", "Tl", "Tl", "Tl"], "frac_coords": [[0.000, 0.000, 0.000], [0.500, 0.163, 0.674], [0.000, 0.332, 0.337], [0.500, 0.500, 0.000], [0.000, 0.668, 0.663], [0.500, 0.837, 0.326], [0.745, 0.086, 0.339], [0.255, 0.576, 0.339], [0.239, 0.261, 0.000], [0.761, 0.739, 0.000], [0.745, 0.424, 0.661], [0.255, 0.914, 0.661]], "formation_enthalpy_0k_kj_per_mol_fu": -444, "spacegroup": "C2/m (12)", "dos_at_fermi_per_ev_cell": 10.22}

Record 11
{"formula": "LaSm2Tl", "functional": "PBE", "state": "optimized geometry", "lattice_angstrom": [[3.751, 0.000, 0.001], [1.876, 3.249, 0.001], [1.879, 1.085, 11.027]], "species": ["La", "Sm", "Sm", "Tl"], "frac_coords": [[0.500, 0.500, 0.500], [0.076, 0.076, 0.773], [0.258, 0.258, 0.226], [0.666, 0.666, 0.000]], "formation_enthalpy_0k_kj_per_mol_fu": -36, "spacegroup": "R3m (160)", "e_above_lowest_polymorph_ev_per_atom": 0.1105, "dos_at_fermi_per_ev_cell": 6.01}

Record 12
{"formula": "LaSm6Tl", "functional": "PBE", "state": "optimized geometry", "lattice_angstrom": [[4.991, 0.000, 0.000], [0.000, 4.991, 0.000], [0.000, 0.000, 10.410]], "species": ["La", "Sm", "Sm", "Sm", "Sm", "Sm", "Sm", "Tl"], "frac_coords": [[0.000, 0.000, 0.000], [0.500, 0.500, 0.000], [0.500, 0.500, 0.500], [0.500, 0.000, 0.259], [0.500, 0.000, 0.741], [0.000, 0.500, 0.259], [0.000, 0.500, 0.741], [0.000, 0.000, 0.500]], "formation_enthalpy_0k_kj_per_mol_fu": -52, "spacegroup": "P4/mmm (123)", "dos_at_fermi_per_ev_cell": 10.26}

Record 13
{"formula": "La2Sm6Tl", "functional": "PBE", "state": "optimized geometry", "lattice_angstrom": [[-3.966, -3.856, 1.406], [3.474, -0.165, 9.349], [-6.649, 7.793, 2.608]], "species": ["La", "La", "La", "La", "Sm", "Sm", "Sm", "Sm", "Sm", "Sm", "Sm", "Sm", "Sm", "Sm", "Sm", "Sm", "Tl", "Tl"], "frac_coords": [[0.000, 0.311, 0.746], [0.500, 0.811, 0.754], [0.500, 0.189, 0.246], [0.000, 0.689, 0.254], [0.000, 0.017, 0.184], [0.000, 0.681, 0.578], [0.000, 0.639, 0.900], [0.500, 0.139, 0.600], [0.500, 0.181, 0.922], [0.500, 0.517, 0.316], [0.000, 0.983, 0.816], [0.000, 0.319, 0.422], [0.000, 0.361, 0.100], [0.500, 0.861, 0.400], [0.500, 0.819, 0.078], [0.500, 0.483, 0.684], [0.500, 0.500, 0.000], [0.000, 0.000, 0.500]], "formation_enthalpy_0k_kj_per_mol_fu": -7, "spacegroup": "Pnnm (58)", "dos_at_fermi_per_ev_cell": 26.05}

Record 14
{"formula": "La2Sm9Tl", "functional": "PBE", "state": "optimized geometry", "lattice_angstrom": [[5.052, 0.000, 0.000], [0.000, 5.052, 0.000], [0.000, 0.000, 15.575]], "species": ["La", "La", "Sm", "Sm", "Sm", "Sm", "Sm", "Sm", "Sm", "Sm", "Sm", "Tl"], "frac_coords": [[0.000, 0.000, 0.331], [0.000, 0.000, 0.669], [0.500, 0.500, 0.000], [0.500, 0.500, 0.327], [0.500, 0.500, 0.673], [0.500, 0.000, 0.159], [0.500, 0.000, 0.500], [0.500, 0.000, 0.841], [0.000, 0.500, 0.159], [0.000, 0.500, 0.500], [0.000, 0.500, 0.841], [0.000, 0.000, 0.000]], "formation_enthalpy_0k_kj_per_mol_fu": -40, "spacegroup": "P4/mmm (123)", "dos_at_fermi_per_ev_cell": 17.58}

Record 15
{"formula": "LaSm6Tl2", "functional": "PBE", "state": "optimized geometry", "lattice_angstrom": [[-0.696, 3.784, -0.092], [-6.489, 0.714, -2.054], [-6.491, 1.011, 10.151]], "species": ["La", "Sm", "Sm", "Sm", "Sm", "Sm", "Sm", "Tl", "Tl"], "frac_coords": [[0.000, 0.000, 0.000], [0.690, 0.494, 0.127], [0.310, 0.506, 0.873], [0.310, 0.798, 0.582], [0.991, 0.674, 0.344], [0.009, 0.326, 0.656], [0.690, 0.202, 0.418], [0.359, 0.065, 0.217], [0.641, 0.935, 0.783]], "formation_enthalpy_0k_kj_per_mol_fu": -129, "spacegroup": "C2/m (12)", "e_above_lowest_polymorph_ev_per_atom": 0.0000, "dos_at_fermi_per_ev_cell": 11.93}

Record 16
{"formula": "LaSm12Tl3", "functional": "PBE", "state": "optimized geometry", "lattice_angstrom": [[4.952, 0.000, 0.000], [0.000, 4.952, 0.000], [0.000, 0.000, 20.400]], "species": ["La", "Sm", "Sm", "Sm", "Sm", "Sm", "Sm", "Sm", "Sm", "Sm", "Sm", "Sm", "Sm", "Tl", "Tl", "Tl"], "frac_coords": [[0.000, 0.000, 0.000], [0.500, 0.500, 0.000], [0.500, 0.500, 0.257], [0.500, 0.500, 0.500], [0.500, 0.500, 0.743], [0.500, 0.000, 0.133], [0.500, 0.000, 0.378], [0.500, 0.000, 0.622], [0.500, 0.000, 0.867], [0.000, 0.500, 0.133], [0.000, 0.500, 0.378], [0.000, 0.500, 0.622], [0.000, 0.500, 0.867], [0.000, 0.000, 0.258], [0.000, 0.000, 0.500], [0.000, 0.000, 0.742]], "formation_enthalpy_0k_kj_per_mol_fu": -202, "spacegroup": "P4/mmm (123)", "dos_at_fermi_per_ev_cell": 23.74}

Record 17
{"formula": "LaSm6Tl4", "functional": "PBE", "state": "optimized geometry", "lattice_angstrom": [[-2.056, 1.208, 2.978], [-8.653, -0.906, -5.608], [3.401, -8.014, 5.599]], "species": ["La", "Sm", "Sm", "Sm", "Sm", "Sm", "Sm", "Tl", "Tl", "Tl", "Tl"], "frac_coords": [[0.000, 0.000, 0.000], [0.000, 0.541, 0.081], [0.500, 0.615, 0.808], [0.000, 0.541, 0.459], [0.000, 0.919, 0.459], [0.500, 0.192, 0.808], [0.500, 0.192, 0.385], [0.500, 0.838, 0.676], [0.500, 0.324, 0.162], [0.500, 0.838, 0.162], [0.000, 0.333, 0.667]], "formation_enthalpy_0k_kj_per_mol_fu": -256, "spacegroup": "P-6m2 (187)", "dos_at_fermi_per_ev_cell": 10.01}

Record 18
{"formula": "La2Sm2Tl7", "functional": "PBE", "state": "optimized geometry", "lattice_angstrom": [[-1.215, 4.911, -6.516], [2.188, -3.928, -2.507], [-6.877, -4.300, -1.503]], "species": ["La", "La", "Sm", "Sm", "Tl", "Tl", "Tl", "Tl", "Tl", "Tl", "Tl"], "frac_coords": [[0.782, 0.500, 0.782], [0.218, 0.500, 0.218], [0.742, 0.299, 0.258], [0.258, 0.701, 0.742], [0.039, 0.210, 0.605], [0.605, 0.790, 0.039], [0.961, 0.790, 0.395], [0.395, 0.210, 0.961], [0.000, 0.000, 0.000], [0.566, 0.770, 0.434], [0.434, 0.230, 0.566]], "formation_enthalpy_0k_kj_per_mol_fu": -222, "spacegroup": "C2/m (12)", "dos_at_fermi_per_ev_cell": 6.88}

Record 19
{"formula": "LaSmTl2", "functional": "PBE", "state": "optimized geometry", "lattice_angstrom": [[-3.564, -2.193, 1.584], [3.123, -3.103, 2.731], [-0.240, 3.281, 4.002]], "species": ["Tl", "Tl", "Sm", "La"], "frac_coords": [[0.000, 0.000, 0.500], [0.000, 0.500, 0.000], [0.500, 0.500, 0.500], [0.500, 0.000, 0.000]], "formation_enthalpy_0k_kj_per_mol_fu": -150, "spacegroup": "P4/mmm (123)", "dos_at_fermi_per_ev_cell": 3.65}

Record 20
{"formula": "LaSm4Tl", "functional": "PBE", "state": "optimized geometry", "lattice_angstrom": [[-2.275, -3.856, -3.699], [5.882, -0.657, -2.933], [3.607, -5.978, 8.573]], "species": ["La", "La", "Sm", "Sm", "Sm", "Sm", "Sm", "Sm", "Sm", "Sm", "Tl", "Tl"], "frac_coords": [[0.866, 0.708, 0.731], [0.134, 0.208, 0.269], [0.939, 0.212, 0.877], [0.061, 0.712, 0.123], [0.460, 0.893, 0.919], [0.540, 0.393, 0.081], [0.686, 0.570, 0.372], [0.314, 0.070, 0.628], [0.750, 0.098, 0.499], [0.250, 0.598, 0.501], [0.604, 0.954, 0.208], [0.396, 0.454, 0.792]], "formation_enthalpy_0k_kj_per_mol_fu": 13, "spacegroup": "Cmc2_1 (36)", "e_above_lowest_polymorph_ev_per_atom": 0.1237, "dos_at_fermi_per_ev_cell": 18.63}

Record 21
{"formula": "La4Sm3Tl4", "functional": "PBE", "state": "optimized geometry", "lattice_angstrom": [[-0.040, 3.425, -1.503], [-8.168, -2.098, -4.560], [-1.126, 2.706, 10.850]], "species": ["La", "La", "La", "La", "Sm", "Sm", "Sm", "Tl", "Tl", "Tl", "Tl"], "frac_coords": [[0.337, 0.168, 0.674], [0.663, 0.495, 0.326], [0.663, 0.832, 0.326], [0.337, 0.505, 0.674], [0.092, 0.092, 0.185], [0.908, 0.908, 0.815], [0.000, 0.500, 0.000], [0.279, 0.779, 0.557], [0.721, 0.221, 0.443], [0.500, 0.778, 0.000], [0.500, 0.222, 0.000]], "formation_enthalpy_0k_kj_per_mol_fu": -301, "spacegroup": "Immm (71)", "dos_at_fermi_per_ev_cell": 11.68}